Record 1
# BaClF

A relaxed BaClF crystal (PBE, the Alexandria database).

a = 4.9183 Å, b = 4.9183 Å, c = 4.9183 Å
α = 60.00°, β = 60.00°, γ = 60.00°
Sites, in units of the cell vectors:
Ba 0.0000 0.0000 0.0000
Cl 0.2500 0.2500 0.2500
F 0.7500 0.7500 0.7500

Computed properties:
As for the density of states at the Fermi level: 0.000 states/eV/atom. The space group is No. 216. The calculation puts the distance to the lowest polymorph of the same formula at 0.204 eV/atom.

Record 2
# NdSm3Th4S8

A relaxed NdSm3Th4S8 crystal (PBE, the Alexandria database).

a = 8.1409 Å, b = 8.1409 Å, c = 8.1409 Å
α = 58.72°, β = 58.72°, γ = 58.72°
Sites, in units of the cell vectors:
Nd 0.0000 0.0000 0.0000
Sm 0.0000 0.5000 0.5000
Sm 0.5000 0.0000 0.5000
Sm 0.5000 0.5000 0.0000
Th 0.0000 0.0000 0.5000
Th 0.0000 0.5000 0.0000
Th 0.5000 0.0000 0.0000
Th 0.5000 0.5000 0.5000
S 0.2497 0.2497 0.7463
S 0.2497 0.7463 0.2497
S 0.2520 0.2520 0.2520
S 0.2537 0.7503 0.7503
S 0.7463 0.2497 0.2497
S 0.7480 0.7480 0.7480
S 0.7503 0.2537 0.7503
S 0.7503 0.7503 0.2537

Computed properties:
As for the density of states at the Fermi level: 0.348 states/eV/atom. The space group is No. 166.

no.,formation energy (no corrections) (kcal/mol of atoms),final energy (eV/cell)
1,-70.39,-14.8
2,-44.44,-112.5